Li4MoO5: relaxed, PBE with a Hubbard U.

## Properties
Distance to the lowest polymorph of the same formula (kJ/mol of formula units): 1
Calculated volume (Å³ per cell): 185

Cell and atoms, written as CIF:
```
data_Li4MoO5
_cell_length_a 5.1347
_cell_length_b 7.7973
_cell_length_c 6.6465
_cell_angle_alpha 94.63
_cell_angle_beta 58.16
_cell_angle_gamma 121.85
_space_group_name_H-M_alt 'P 1'
_space_group_IT_number 1
_space_group_name_Hall 'P 1'
loop_
_atom_site_label
_atom_site_fract_x
_atom_site_fract_y
_atom_site_fract_z
Li1 0.3891 0.6126 0.8909
O1 0.7181 0.4794 0.7558
O2 0.1365 0.0905 0.1325
Li2 0.0832 0.3868 0.6103
O3 0.0203 0.7033 0.0589
Mo1 0.6660 0.7766 0.2148
O4 0.2819 0.5206 0.2442
O5 0.9797 0.2967 0.9411
Li3 0.0000 0.0000 0.5000
Li4 0.2019 0.8043 0.7013
Li5 0.7981 0.1957 0.2987
O6 0.5736 0.7155 0.5235
Li6 0.9168 0.6132 0.3897
O7 0.4264 0.2845 0.4765
O8 0.8635 0.9095 0.8675
Li7 0.6109 0.3874 0.1091
Mo2 0.3340 0.2234 0.7852
O9 0.3767 0.8907 0.3384
Li8 0.5000 0.0000 0.0000
O10 0.6233 0.1093 0.6616
```